Material: YV2InF
Method: DFT, GGA+U
State: optimized geometry

Computed properties:
Theoretical density in g cm⁻³: 4.14
Size of the total moment in μB per formula unit: 8.6
SG: P4/mmm (123)
Electronic total energy in eV per atom: -4.666

Cell and atoms, written as extended XYZ:
```
5
Lattice="5.483 0.000 0.000 0.000 5.483 0.000 0.000 0.000 4.326" Properties=species:S:1:pos:R:3 pbc="T T T"
Y 0.000 0.000 0.000
V 0.000 2.741 2.163
V 2.741 0.000 2.163
In 2.741 2.741 2.163
F 2.741 2.741 0.000
```